# 1
Nd8SmHo5 | PBE-GGA | relaxed

abc: 8.5699 8.6851 8.5699
angles: 114.04 97.95 116.29
Last column: nearest neighbours and their distance in Å.
Fractional coordinates of all 14 atoms:
Nd: 0.2129 0.7302 0.0881  3 Nd 3.23-3.60, 1 Ho 3.43
Nd: 0.0853 0.2073 0.7403  5 Ho 3.21-3.55, 1 Sm 3.29, 2 Nd 3.45-3.54
Nd: 0.6503 0.2155 0.3020  3 Nd 3.23-3.60, 1 Sm 3.24, 3 Ho 3.37-3.48
Nd: 0.6957 0.4499 0.9350  5 Ho 3.40-3.72, 3 Nd 3.46-3.71
Nd: 0.4851 0.5501 0.2458  5 Ho 3.40-3.72, 3 Nd 3.46-3.71
Nd: 0.5330 0.7927 0.8780  5 Ho 3.21-3.55, 1 Sm 3.29, 2 Nd 3.45-3.54
Nd: 0.3579 0.2698 0.4827  3 Nd 3.23-3.60, 1 Ho 3.43
Nd: 0.0865 0.7845 0.4348  3 Nd 3.23-3.60, 1 Sm 3.24, 3 Ho 3.37-3.48
Sm: 0.0884 0.5000 0.5884  4 Nd 3.24-3.29
Ho: 0.9612 0.2615 0.0860  3 Nd 3.21-3.50, 1 Ho 3.39
Ho: 0.8752 0.9594 0.2611  7 Nd 3.34-3.58, 1 Ho 3.39, 1 Sm 3.68
Ho: 0.8245 0.7385 0.6997  3 Nd 3.21-3.50, 1 Ho 3.39
Ho: 0.5923 0.0000 0.5923  6 Nd 3.40-3.64
Ho: 0.3017 0.0406 0.9159  7 Nd 3.34-3.58, 1 Ho 3.39, 1 Sm 3.68

Values from the calculation:
Energy of formation, eV/atom: 0.172
Symmetry: C2
Crystal system: monoclinic
E_tot, eV/atom: -4.52

***

# 2
Pm2TmRh3 | PBE-GGA | relaxed

abc: 7.6767 7.6767 7.1313
angles: 90.00 90.00 143.29
Last column: nearest neighbours and their distance in Å.
Fractional coordinates of all 12 atoms:
Pm: 0.0000 0.0000 0.0000  8 Rh 2.97-3.00
Pm: 0.0000 0.0000 0.5000  8 Rh 3.03-3.10
Pm: 0.3328 0.6672 0.5000  8 Rh 3.03-3.06
Pm: 0.6672 0.3328 0.5000  8 Rh 3.03-3.06
Tm: 0.3316 0.6684 0.0000  8 Rh 2.91-3.00
Tm: 0.6684 0.3316 0.0000  8 Rh 2.91-3.00
Rh: 0.8306 0.1694 0.7620  3 Tm 2.91-2.95, 5 Pm 3.00-3.10
Rh: 0.5000 0.5000 0.2430  6 Pm 2.97-3.05, 2 Tm 3.00
Rh: 0.1694 0.8306 0.2380  3 Tm 2.91-2.95, 5 Pm 3.00-3.10
Rh: 0.8306 0.1694 0.2380  3 Tm 2.91-2.95, 5 Pm 3.00-3.10
Rh: 0.1694 0.8306 0.7620  3 Tm 2.91-2.95, 5 Pm 3.00-3.10
Rh: 0.5000 0.5000 0.7570  6 Pm 2.97-3.05, 2 Tm 3.00

Values from the calculation:
Energy of formation, eV/atom: -0.762
Symmetry: Cmmm
Crystal system: orthorhombic
E_tot, eV/atom: -6.77

***

# 3
Y6TeC2S3 | PBE-GGA | relaxed

abc: 3.8450 7.9995 8.7378
angles: 101.82 102.71 90.00
Last column: nearest neighbours and their distance in Å.
Fractional coordinates of all 12 atoms:
Y: 0.3213 0.8666 0.6425  2 C 2.56, 1 S 2.69
Y: 0.6766 0.5670 0.3533  3 C 2.54-2.63
Y: 0.6787 0.1334 0.3575  2 C 2.56, 1 S 2.69
Y: 0.0241 0.2862 0.0481  1 C 2.46, 2 S 2.66
Y: 0.9759 0.7138 0.9519  1 C 2.46, 2 S 2.66
Y: 0.3234 0.4330 0.6467  3 C 2.54-2.63
Te: 0.5000 0.0000 0.0000  6 Y 2.95-3.01
C: 0.8285 0.6590 0.6571  6 Y 2.46-2.63
C: 0.1715 0.3410 0.3429  6 Y 2.46-2.63
S: 0.5000 0.5000 0.0000  6 Y 2.66-2.95
S: 0.8390 0.1645 0.6781  3 Y 2.69-2.94
S: 0.1610 0.8355 0.3219  3 Y 2.69-2.94

Values from the calculation:
Formation energy from raw total energies, eV/atom: -1.371
Symmetry: C2/m
Crystal system: monoclinic
E_tot, eV/atom: -7.43

***

# 4
AcGaSnGe | PBE-GGA | relaxed

abc: 5.3139 5.3139 5.3139
angles: 60.00 60.00 60.00
Last column: nearest neighbours and their distance in Å.
Fractional coordinates of all 4 atoms:
Ac: 0.5000 0.5000 0.5000  4 Ga 3.25, 4 Ge 3.25
Ge: 0.7500 0.7500 0.7500  4 Ac 3.25, 4 Sn 3.25
Sn: 0.0000 0.0000 0.0000  4 Ge 3.25, 4 Ga 3.25
Ga: 0.2500 0.2500 0.2500  4 Sn 3.25, 4 Ac 3.25

Values from the calculation:
Energy of formation, eV/atom: -0.236
Symmetry: F-43m
Crystal system: cubic
E_tot, eV/atom: -4.17

***

The records above yield total magnetic moment values of 0.00; 0.00; 0.00; 0.00 μB per formula unit, respectively.
The records above yield Fermi-level density of states values of 21.0; 9.0; 4.0; 3.7 states/eV/cell, respectively.
The records above yield theoretical density values of 7.348; 10.149; 5.061; 7.638 g/cm3, respectively.